Entry 1:
Here is MgAg4 at its PBEsol-relaxed geometry from Alexandria. Energies are from meta-GGA SCAN.

a b c (Å): 3.0364 3.0364 9.4832
angles (deg): 99.21 99.21 90.00
Closest atoms and distances in Å follow each position.
Fractional positions:
Ag 0.7994 0.7994 0.5988  12 Ag 2.82-3.04
Ag 0.2006 0.2006 0.4012  12 Ag 2.82-3.04
Ag 0.3995 0.3995 0.7990  8 Ag 2.83-3.04, 4 Mg 2.84
Ag 0.6005 0.6005 0.2010  8 Ag 2.83-3.04, 4 Mg 2.84
Mg 0.0000 0.0000 0.0000  8 Ag 2.84, 4 Mg 3.04

## Properties
As for the magnetization: 0.00 μB per formula unit. As for the symmetry: No. 139. For the energy, the calculation gives -130.89 eV/f.u.



Entry 2:
Here is CeSe at its PBEsol-relaxed geometry from Alexandria. Energies are from meta-GGA SCAN.

a b c (Å): 4.1229 4.1229 4.1229
angles (deg): 60.00 60.00 60.00
Closest atoms and distances in Å follow each position.
Fractional positions:
Se 0.5000 0.5000 0.5000  6 Ce 2.92
Ce 0.0000 0.0000 0.0000  6 Se 2.92

## Properties
The value obtained for the energy relative to the elements, uncorrected is -1.973 eV/atom. As for the magnetization: 1.08 μB per formula unit. As for the symmetry: No. 225. For the energy, the calculation gives -68.59 eV/f.u.



Entry 3:
Here is Li2V6O15 at its PBEsol-relaxed geometry from Alexandria. Energies are from meta-GGA SCAN.

a b c (Å): 3.5596 7.9455 10.0856
angles (deg): 112.62 90.00 102.94
Closest atoms and distances in Å follow each position.
Fractional positions:
O 0.8819 0.7637 0.7281  1 V 1.63
O 0.8169 0.6337 0.0619  2 V 1.85
O 0.4464 0.8928 0.2404  1 V 1.63
O 0.7571 0.5142 0.4241  3 V 1.86-2.00
O 0.6355 0.2709 0.0672  3 V 1.87-1.99
O 0.1831 0.3663 0.9381  2 V 1.85
O 0.3645 0.7291 0.9328  3 V 1.87-1.99
O 0.2705 0.5410 0.2266  2 V 1.82-1.87
O 0.7295 0.4590 0.7734  2 V 1.82-1.87
O 0.5536 0.1072 0.7596  1 V 1.63
O 0.2429 0.4858 0.5759  3 V 1.86-2.00
O 0.0000 0.0000 0.0000  2 V 1.77
O 0.5963 0.1926 0.5041  1 V 1.62
O 0.1181 0.2363 0.2719  1 V 1.63
O 0.4037 0.8074 0.4959  1 V 1.62
V 0.7099 0.4198 0.5828  1 O 1.62
V 0.2901 0.5802 0.4172  1 O 1.62
V 0.3414 0.6827 0.1130  1 O 1.63
V 0.1215 0.2429 0.1122  2 O 1.63-1.77
V 0.8785 0.7571 0.8878  2 O 1.63-1.77
V 0.6586 0.3173 0.8870  1 O 1.63
Li 0.0227 0.0454 0.3465  1 O 1.91
Li 0.9773 0.9546 0.6535  1 O 1.91

## Properties
The value obtained for the energy relative to the elements, uncorrected is -2.551 eV/atom. As for the magnetization: 1.38 μB per formula unit. As for the symmetry: No. 12. For the energy, the calculation gives -261.85 eV/f.u.



Entry 4:
Here is AlAgCl2 at its PBEsol-relaxed geometry from Alexandria. Energies are from meta-GGA SCAN.

a b c (Å): 3.0763 6.0275 6.4913
angles (deg): 123.26 90.00 104.78
Closest atoms and distances in Å follow each position.
Fractional positions:
Cl 0.9080 0.8160 0.8692  2 Al 2.36
Cl 0.7886 0.5772 0.1921  2 Al 2.43
Al 0.2548 0.5096 0.8717  4 Cl 2.36-2.43, 2 Ag 2.58
Ag 0.5486 0.0973 0.5670  2 Al 2.58

## Properties
The value obtained for the energy relative to the elements, uncorrected is -0.745 eV/atom. As for the magnetization: 0.00 μB per formula unit. Its distance to the lowest polymorph of the same formula is 0.0 kJ per mole of atoms. As for the symmetry: No. 8. For the energy, the calculation gives -58.05 eV/f.u.



Entry 5:
Here is LaMnTl2 at its PBEsol-relaxed geometry from Alexandria. Energies are from meta-GGA SCAN.

a b c (Å): 3.5617 3.5617 7.8250
angles (deg): 90.00 90.00 90.00
Closest atoms and distances in Å follow each position.
Fractional positions:
Tl 0.0000 0.0000 0.0358  4 Mn 2.90
Tl 0.5000 0.5000 0.7735  8 Tl 3.25-3.56, 4 La 3.46, 1 Mn 3.49
La 0.0000 0.0000 0.4709  4 Mn 3.19, 5 Tl 3.40-3.46, 4 La 3.56
Mn 0.5000 0.5000 0.2198  4 Tl 2.90, 4 La 3.19

## Properties
As for the magnetization: 3.80 μB per formula unit. As for the symmetry: No. 99. For the energy, the calculation gives -206.52 eV/f.u.



Entry 6:
Here is K2SnPtRh at its PBEsol-relaxed geometry from Alexandria. Energies are from meta-GGA SCAN.

a b c (Å): 4.7280 5.6567 5.6567
angles (deg): 90.00 90.00 90.00
Closest atoms and distances in Å follow each position.
Fractional positions:
Pt 0.5000 0.0000 0.0000  2 Rh 2.36
K 0.0000 0.0000 0.5000  2 Rh 2.83
K 0.0000 0.5000 0.0000  2 Rh 2.83
Rh 0.0000 0.0000 0.0000  2 Pt 2.36
Sn 0.5000 0.5000 0.5000  8 K 3.69, 4 Pt 4.00

## Properties
As for the magnetization: 0.00 μB per formula unit. As for the symmetry: No. 123. For the energy, the calculation gives -152.92 eV/f.u.



Entry 7:
Here is TaAsPt2 at its PBEsol-relaxed geometry from Alexandria. Energies are from meta-GGA SCAN.

a b c (Å): 3.7289 4.4403 4.8005
angles (deg): 117.55 112.85 90.00
Closest atoms and distances in Å follow each position.
Fractional positions:
Ta 0.5284 0.5284 0.0567  2 As 2.59, 4 Pt 2.74-2.90
Pt 0.7389 0.2389 0.4777  4 Ta 2.74-2.90, 4 Pt 2.78-2.83, 4 As 2.91
Pt 0.9692 0.9692 0.9384  2 As 2.44
As 0.2635 0.7635 0.5271  2 Pt 2.44, 2 Ta 2.59

## Properties
As for the magnetization: 0.00 μB per formula unit. As for the symmetry: No. 44. For the energy, the calculation gives -228.80 eV/f.u.



Entry 8:
Here is In2Au at its PBEsol-relaxed geometry from Alexandria. Energies are from meta-GGA SCAN.

a b c (Å): 4.6154 4.6154 4.6154
angles (deg): 60.00 60.00 60.00
Closest atoms and distances in Å follow each position.
Fractional positions:
In 0.2500 0.2500 0.2500  4 Au 2.83
In 0.7500 0.7500 0.7500  4 Au 2.83
Au 0.0000 0.0000 0.0000  8 In 2.83

## Properties
As for the magnetization: 0.00 μB per formula unit. As for the symmetry: No. 225. For the energy, the calculation gives -136.97 eV/f.u.



Entry 9:
Here is TlAuSe4 at its PBEsol-relaxed geometry from Alexandria. Energies are from meta-GGA SCAN.

a b c (Å): 5.7310 5.7310 5.7310
angles (deg): 60.00 60.00 60.00
Closest atoms and distances in Å follow each position.
Fractional positions:
Se 0.3729 0.8813 0.3729  6 Se 2.82-2.91
Se 0.8813 0.3729 0.3729  6 Se 2.82-2.91
Se 0.3729 0.3729 0.3729  6 Se 2.82-2.91
Se 0.3729 0.3729 0.8813  6 Se 2.82-2.91
Au 0.0000 0.0000 0.0000  12 Se 3.36, 4 Tl 3.51
Tl 0.7500 0.7500 0.7500  12 Se 3.37, 4 Au 3.51

## Properties
The value obtained for the energy relative to the elements, uncorrected is 0.512 eV/atom. As for the magnetization: 0.00 μB per formula unit. As for the symmetry: No. 216. For the energy, the calculation gives -218.76 eV/f.u.



Entry 10:
Here is BePd2RuRh at its PBEsol-relaxed geometry from Alexandria. Energies are from meta-GGA SCAN.

a b c (Å): 3.8525 4.7154 4.7154
angles (deg): 90.00 90.00 90.00
Closest atoms and distances in Å follow each position.
Fractional positions:
Be 0.5000 0.0000 0.0000  2 Rh 1.93
Rh 0.0000 0.0000 0.0000  2 Be 1.93
Pd 0.0000 0.5000 0.0000  2 Rh 2.36
Pd 0.0000 0.0000 0.5000  2 Rh 2.36
Ru 0.5000 0.5000 0.5000  8 Pd 3.04, 4 Be 3.33

## Properties
As for the magnetization: 3.63 μB per formula unit. As for the symmetry: No. 123. For the energy, the calculation gives -132.11 eV/f.u.



Entry 11:
Here is K5Ba at its PBEsol-relaxed geometry from Alexandria. Energies are from meta-GGA SCAN.

a b c (Å): 7.4996 7.9590 7.9590
angles (deg): 120.00 90.00 90.00
Closest atoms and distances in Å follow each position.
Fractional positions:
K 0.5000 0.3333 0.6667  9 K 4.58-4.60, 3 Ba 4.60
K 0.0000 0.3386 0.3386  10 K 4.56-4.67, 2 Ba 4.62
K 0.0000 0.0000 0.6614  10 K 4.56-4.67, 2 Ba 4.62
K 0.5000 0.6667 0.3333  9 K 4.58-4.60, 3 Ba 4.60
K 0.0000 0.6614 0.0000  10 K 4.56-4.67, 2 Ba 4.62
Ba 0.5000 0.0000 0.0000  12 K 4.60-4.62

## Properties
As for the magnetization: 0.04 μB per formula unit. Its distance to the lowest polymorph of the same formula is 1.8 kJ per mole of atoms. As for the symmetry: No. 189. For the energy, the calculation gives -80.71 eV/f.u.



Entry 12:
Here is Re2HgSb at its PBEsol-relaxed geometry from Alexandria. Energies are from meta-GGA SCAN.

a b c (Å): 2.9758 2.9964 8.6623
angles (deg): 90.00 99.63 90.00
Closest atoms and distances in Å follow each position.
Fractional positions:
Re 0.9571 0.0000 0.0388  4 Re 2.60
Re 0.5431 0.5000 0.2157  4 Re 2.60, 4 Sb 2.89-2.90
Sb 0.1585 0.0000 0.4480  4 Re 2.89-2.90, 4 Sb 2.98-3.00
Hg 0.3412 0.5000 0.7975  4 Re 2.95, 4 Hg 2.98-3.00

## Properties
The value obtained for the energy relative to the elements, uncorrected is 0.353 eV/atom. As for the magnetization: 0.00 μB per formula unit. Its distance to the lowest polymorph of the same formula is 0.0 kJ per mole of atoms. As for the symmetry: No. 6. For the energy, the calculation gives -246.21 eV/f.u.



Entry 13:
Here is LiAl at its PBEsol-relaxed geometry from Alexandria. Energies are from meta-GGA SCAN.

a b c (Å): 2.7797 2.7797 4.1445
angles (deg): 90.00 90.00 90.00
Closest atoms and distances in Å follow each position.
Fractional positions:
Al 0.0000 0.0000 0.0000  4 Al 2.78, 8 Li 2.86
Li 0.5000 0.5000 0.5000  4 Li 2.78, 8 Al 2.86

## Properties
As for the magnetization: 0.00 μB per formula unit. As for the symmetry: No. 123. For the energy, the calculation gives -10.34 eV/f.u.